A relaxed structure of InB4Pd, computed with PBE-GGA.

space-group type: P6/mmm
VASP energy: -32.15 eV per cell

Unit cell a=3.114 b=3.114 c=7.509 alpha=90.00 beta=90.00 gamma=120.00
Fractional positions:
B 0.333 0.667 0.766
B 0.667 0.333 0.766
B 0.667 0.333 0.234
Pd 0.000 0.000 0.000
B 0.333 0.667 0.234
In 0.000 0.000 0.500